Record 1
The following is a PBE calculation of a relaxed structure of SrCeNi2, from Alexandria via LeMat-Bulk.

Unit cell a=3.9845 b=3.9845 c=21.1482 alpha=90.00 beta=90.00 gamma=120.00
Fractional coordinates of all 12 atoms:
Sr 0.0000 0.0000 0.0000
Sr 0.3333 0.6667 0.6667
Sr 0.6667 0.3333 0.3333
Ce 0.0000 0.0000 0.5000
Ce 0.3333 0.6667 0.1667
Ce 0.6667 0.3333 0.8333
Ni 0.0000 0.0000 0.2344
Ni 0.0000 0.0000 0.7656
Ni 0.3333 0.6667 0.4323
Ni 0.3333 0.6667 0.9011
Ni 0.6667 0.3333 0.0989
Ni 0.6667 0.3333 0.5677

Crystal system: trigonal
Energy of formation from the pure elements: -0.1 eV per formula unit

Record 2
The following is a PBE calculation of a relaxed structure of Tl2SbPd, from Alexandria via LeMat-Bulk.

Unit cell a=3.2882 b=3.2882 c=33.8957 alpha=90.00 beta=90.00 gamma=120.00
Fractional coordinates of all 12 atoms:
Tl 0.0000 0.0000 0.0798
Tl 0.0000 0.0000 0.9202
Tl 0.3333 0.6667 0.5869
Tl 0.3333 0.6667 0.7464
Tl 0.6667 0.3333 0.2536
Tl 0.6667 0.3333 0.4131
Sb 0.0000 0.0000 0.5000
Sb 0.3333 0.6667 0.1667
Sb 0.6667 0.3333 0.8333
Pd 0.0000 0.0000 0.0000
Pd 0.3333 0.6667 0.6667
Pd 0.6667 0.3333 0.3333

Crystal system: trigonal
E_form (uncorrected): 0.23 eV/atom

Record 3
The following is a PBE calculation of a relaxed structure of U2GaCl8, from Alexandria via LeMat-Bulk.

Unit cell a=7.2501 b=7.2501 c=10.1690 alpha=96.95 beta=96.95 gamma=57.43
Fractional coordinates of all 11 atoms:
U 0.1296 0.1296 0.3857
U 0.8704 0.8704 0.6143
Ga 0.0000 0.0000 0.0000
Cl 0.0875 0.0875 0.6439
Cl 0.1338 0.6287 0.7997
Cl 0.3320 0.3320 0.4703
Cl 0.3713 0.8662 0.2003
Cl 0.6287 0.1338 0.7997
Cl 0.6680 0.6680 0.5297
Cl 0.8662 0.3713 0.2003
Cl 0.9125 0.9125 0.3561

Crystal system: monoclinic
E_form (uncorrected): -1.43 eV/atom

Record 4
The following is a PBE calculation of a relaxed structure of AcLa8Sm2, from Alexandria via LeMat-Bulk.

Unit cell a=9.7826 b=9.7826 c=9.7826 alpha=146.08 beta=127.17 gamma=64.28
Fractional coordinates of all 11 atoms:
Ac 0.0000 0.0000 0.0000
La 0.1549 0.8555 0.2994
La 0.1563 0.6563 0.5000
La 0.2958 0.5000 0.7958
La 0.4440 0.1445 0.2994
La 0.5560 0.8555 0.7006
La 0.7042 0.5000 0.2042
La 0.8437 0.3437 0.5000
La 0.8451 0.1445 0.7006
Sm 0.2983 0.2983 0.0000
Sm 0.7017 0.7017 0.0000

Crystal system: orthorhombic
Energy of formation from the pure elements: 1.1 eV per formula unit

Record 5
The following is a PBE calculation of a relaxed structure of AcErI2, from Alexandria via LeMat-Bulk.

Unit cell a=3.9979 b=3.9979 c=33.4599 alpha=90.00 beta=90.00 gamma=120.00
Fractional coordinates of all 12 atoms:
Ac 0.0000 0.0000 0.0000
Ac 0.3333 0.6667 0.6667
Ac 0.6667 0.3333 0.3333
Er 0.0000 0.0000 0.5000
Er 0.3333 0.6667 0.1667
Er 0.6667 0.3333 0.8333
I 0.0000 0.0000 0.4090
I 0.0000 0.0000 0.5910
I 0.3333 0.6667 0.0757
I 0.3333 0.6667 0.2577
I 0.6667 0.3333 0.7423
I 0.6667 0.3333 0.9243

Crystal system: trigonal
E_form (uncorrected): -0.71 eV/atom

Record 6
The following is a PBE calculation of a relaxed structure of As2RhSe, from Alexandria via LeMat-Bulk.

Unit cell a=3.5782 b=3.5782 c=22.2999 alpha=90.00 beta=90.00 gamma=120.00
Fractional coordinates of all 12 atoms:
As 0.0000 0.0000 0.0000
As 0.0000 0.0000 0.2678
As 0.3333 0.6667 0.6667
As 0.3333 0.6667 0.9344
As 0.6667 0.3333 0.3333
As 0.6667 0.3333 0.6011
Rh 0.0000 0.0000 0.7603
Rh 0.3333 0.6667 0.4269
Rh 0.6667 0.3333 0.0936
Se 0.0000 0.0000 0.4817
Se 0.3333 0.6667 0.1484
Se 0.6667 0.3333 0.8151

Crystal system: trigonal
E_form (uncorrected): -0.06 eV/atom

Number 1: VASP energy -4.8286 eV/atom. Number 2: VASP energy -3.2802 eV/atom. Number 3: VASP energy -5.1010 eV/atom. Number 4: VASP energy -4.7172 eV/atom. Number 5: VASP energy -3.6549 eV/atom. Number 6: VASP energy -5.0964 eV/atom.